Record 1
## Sn6SbTe5 (PBE-GGA)

Data for an optimized crystal structure of Sn6SbTe5.

Summary:
ΔE_f (raw): -0.22 eV per atom
D(E_F): 5.1 states/eV/f.u.
total energy: -3.8779 eV/atom

Structure (extended XYZ):
```
12
Lattice="7.6783 -0.1269 -1.4409 -4.1548 6.4583 -1.4409 0.1395 0.2506 7.7101" Properties=species:S:1:pos:R:3 pbc="T T T"
Te -2.1144 5.4869 2.4142
Te 1.8314 3.2910 2.4142
Te 5.7773 1.0951 2.4142
Te -0.2171 4.2669 -1.4409
Te 3.7406 2.0644 -1.4409
Sn 0.8565 6.0487 3.6502
Sn 2.7109 4.8713 -0.2586
Sn -1.0260 2.6660 1.1781
Sn 0.9520 1.7106 5.0869
Sn 4.6889 3.9160 3.6502
Sn 2.8064 0.5333 1.1781
Sb 0.0000 0.0000 0.0000
```

=====

Record 2
## CsAl3S (PBE-GGA)

Data for an optimized crystal structure of CsAl3S.

Summary:
relative energy among the computed polymorphs: 0 meV per atom
ΔE_f (raw): 0.53 eV per atom
D(E_F): 6.6 states/eV/f.u.
total energy: -2.7113 eV/atom

Structure (extended XYZ):
```
5
Lattice="5.4067 0.0000 0.0000 0.0000 5.4067 0.0000 0.0000 0.0000 5.4067" Properties=species:S:1:pos:R:3 pbc="T T T"
Al 0.0000 2.7034 0.0000
Al 2.7034 0.0000 0.0000
Al 0.0000 0.0000 2.7034
Cs 2.7034 2.7034 2.7034
S 0.0000 0.0000 0.0000
```

=====

Record 3
## LaMnB3 (PBE-GGA)

Data for an optimized crystal structure of LaMnB3.

Summary:
relative energy among the computed polymorphs: 0 meV per atom
formation energy: -53 meV per atom
D(E_F): 1.1 states/eV/f.u.
total energy: -6.8792 eV/atom

Structure (extended XYZ):
```
5
Lattice="-1.9744 0.2344 -3.4549 -1.5849 -3.5971 0.6617 -3.0788 1.7015 1.8749" Properties=species:S:1:pos:R:3 pbc="T T T"
B -0.7925 -1.7986 0.3309
B -0.9872 0.1172 -1.7274
B -1.5394 0.8507 0.9375
La -3.3191 -0.8306 -0.4591
Mn 0.0000 0.0000 0.0000
```

=====

Record 4
## Pa2HgTe (PBE-GGA)

Data for an optimized crystal structure of Pa2HgTe.

Summary:
relative energy among the computed polymorphs: 128 meV per atom
ΔE_f (raw): -0.06 eV per atom
D(E_F): 7.9 states/eV/f.u.
total energy: -5.6679 eV/atom

Structure (extended XYZ):
```
4
Lattice="-3.4913 -2.6331 -0.6324 -0.6699 -1.8710 -3.9462 2.3251 -6.8851 0.3962" Properties=species:S:1:pos:R:3 pbc="T T T"
Pa -1.3322 -8.6069 -3.1135
Pa -0.5038 -2.7823 -1.0688
Hg 0.0000 0.0000 0.0000
Te -0.9180 -5.6946 -2.0912
```

=====

Record 5
## NbTc2Cl (PBE-GGA)

Data for an optimized crystal structure of NbTc2Cl.

Summary:
relative energy among the computed polymorphs: 0 meV per atom
ΔE_f (raw): 0.80 eV per atom
D(E_F): 6.9 states/eV/f.u.
total energy: -7.3663 eV/atom

Structure (extended XYZ):
```
4
Lattice="-3.4016 -2.4291 1.6188 -3.5195 2.0443 1.8778 -3.9625 0.0169 -2.0953" Properties=species:S:1:pos:R:3 pbc="T T T"
Nb -5.4418 -0.1840 0.7007
Tc -8.1628 -0.2760 1.0510
Tc -2.7209 -0.0920 0.3503
Cl 0.0000 0.0000 0.0000
```

=====

Record 6
## Tb2Sm2DyTm4 (PBE-GGA)

Data for an optimized crystal structure of Tb2Sm2DyTm4.

Summary:
formation energy: -3 meV per atom
D(E_F): 12.1 states/eV/f.u.
total energy: -4.5789 eV/atom

Structure (extended XYZ):
```
9
Lattice="-3.0100 -0.4658 -1.8622 6.4558 -2.6767 -6.3436 -2.7275 -6.7434 6.0957" Properties=species:S:1:pos:R:3 pbc="T T T"
Tm 0.9174 -3.3461 -0.6457
Tm -0.1991 -6.5397 -1.4643
Tm -2.2248 -2.6015 0.8249
Tm 2.9430 -7.2844 -2.9349
Sm 0.1342 -1.2042 -3.3378
Sm 0.5840 -8.6817 1.2278
Tb -0.3506 -5.3265 1.8992
Tb 1.0688 -4.5594 -4.0092
Dy 0.0000 0.0000 0.0000
```

=====

Record 7
## AcMnPt2 (PBE-GGA)

Data for an optimized crystal structure of AcMnPt2.

Summary:
formation energy: -745 meV per atom
D(E_F): 2.6 states/eV/f.u.
total energy: -7.0846 eV/atom

Structure (extended XYZ):
```
8
Lattice="4.4708 0.0000 0.0000 -2.2354 3.8718 0.0000 0.0000 0.0000 10.3714" Properties=species:S:1:pos:R:3 pbc="T T T"
Mn 0.0000 0.0000 5.1857
Mn 0.0000 0.0000 0.0000
Ac 2.2354 1.2906 7.7786
Ac 0.0000 2.5812 2.5929
Pt 2.2354 1.2906 0.6212
Pt 2.2354 1.2906 4.5645
Pt 0.0000 2.5812 9.7503
Pt 0.0000 2.5812 5.8069
```

=====

Record 8
## H2PdSe (PBE-GGA)

Data for an optimized crystal structure of H2PdSe.

Summary:
relative energy among the computed polymorphs: 0 meV per atom
D(E_F): 1.7 states/eV/f.u.
total energy: -3.4468 eV/atom

Structure (extended XYZ):
```
8
Lattice="-1.0812 3.4446 3.2962 -4.5336 -1.7889 0.3824 -1.6322 -1.5392 4.6984" Properties=species:S:1:pos:R:3 pbc="T T T"
H -6.5881 0.1164 6.7806
H -1.7581 1.8871 3.6104
H -2.8788 -0.3555 4.8652
H -3.2691 -1.4149 1.4977
Se -4.4866 -1.2501 3.4600
Se -2.8074 0.8279 1.8393
Pd 0.0000 0.0000 0.0000
Pd -2.7604 1.3667 4.9170
```